No. 1
Entry from Alexandria: a relaxed MnBe2Ir2 crystal (PBE).

* crystal system: tetragonal
* relative energy among the computed polymorphs: 0.00 eV per formula unit
* space group: No. 127

a = 6.367 Å, b = 6.367 Å, c = 2.747 Å
α = 90.00°, β = 90.00°, γ = 90.00°
Sites, in units of the cell vectors:
Ir1 0.825 0.325 0.500
Mn1 0.500 0.500 0.000
Be1 0.378 0.878 0.000
Be2 0.878 0.622 0.000
Ir2 0.675 0.825 0.500
Ir3 0.325 0.175 0.500
Be3 0.122 0.378 0.000
Mn2 0.000 0.000 0.000
Ir4 0.175 0.675 0.500
Be4 0.622 0.122 0.000



No. 2
Entry from Alexandria: a relaxed MnBeIr crystal (PBE).

* crystal system: trigonal
* relative energy among the computed polymorphs: 0.80 eV per formula unit
* space group: No. 156

a = 3.950 Å, b = 3.950 Å, c = 2.645 Å
α = 90.00°, β = 90.00°, γ = 120.00°
Last column: magnetic moment on the atom in μB.
Sites, in units of the cell vectors:
Ir1 0.667 0.333 0.222  -0.09
Mn1 0.333 0.667 0.697  2.15
Be1 0.000 0.000 0.081  -0.02



No. 3
Entry from Alexandria: a relaxed MnBe2Ir crystal (PBE).

* crystal system: tetragonal
* relative energy among the computed polymorphs: 0.39 eV per formula unit
* space group: No. 123

a = 3.867 Å, b = 3.867 Å, c = 2.848 Å
α = 90.00°, β = 90.00°, γ = 90.00°
Last column: magnetic moment on the atom in μB.
Sites, in units of the cell vectors:
Ir1 0.500 0.000 0.500  0.23
Be1 0.000 0.000 0.000  -0.03
Be2 0.500 0.500 0.000  -0.03
Mn1 0.000 0.500 0.500  2.78



No. 4
Entry from Alexandria: a relaxed MnBe2Ir2 crystal (PBE).

* crystal system: tetragonal
* relative energy among the computed polymorphs: 0.23 eV per formula unit
* space group: No. 139

a = 2.985 Å, b = 2.985 Å, c = 7.041 Å
α = 77.76°, β = 77.76°, γ = 90.00°
Last column: magnetic moment on the atom in μB.
Sites, in units of the cell vectors:
Ir1 0.384 0.384 0.231  0.02
Mn1 0.000 0.000 0.000  3.18
Be1 0.250 0.750 0.500  -0.01
Be2 0.750 0.250 0.500  -0.01
Ir2 0.616 0.616 0.769  0.02



No. 5
Entry from Alexandria: a relaxed MnBe2Ir3 crystal (PBE).

* crystal system: tetragonal
* space group: No. 123

a = 2.850 Å, b = 2.850 Å, c = 8.784 Å
α = 90.00°, β = 90.00°, γ = 90.00°
Last column: magnetic moment on the atom in μB.
Sites, in units of the cell vectors:
Be1 0.500 0.500 0.150  0.01
Ir1 0.000 0.000 0.000  -0.06
Ir2 0.000 0.000 0.316  -0.03
Mn1 0.500 0.500 0.500  2.66
Be2 0.500 0.500 0.850  0.01
Ir3 0.000 0.000 0.684  -0.03



No. 6
Entry from Alexandria: a relaxed Mn2BeIr2 crystal (PBE).

* crystal system: tetragonal
* relative energy among the computed polymorphs: 0.00 eV per formula unit
* space group: No. 127

a = 7.023 Å, b = 7.023 Å, c = 2.870 Å
α = 90.00°, β = 90.00°, γ = 90.00°
Last column: magnetic moment on the atom in μB.
Sites, in units of the cell vectors:
Ir1 0.861 0.639 0.000  0.01
Ir2 0.139 0.361 0.000  0.01
Ir3 0.361 0.861 0.000  -0.01
Be1 0.000 0.000 0.000  -0.04
Mn1 0.161 0.661 0.500  2.74
Mn2 0.839 0.339 0.500  2.74
Mn3 0.339 0.161 0.500  2.76
Mn4 0.661 0.839 0.500  2.76
Ir4 0.639 0.139 0.000  -0.01
Be2 0.500 0.500 0.000  -0.04



No. 7
Entry from Alexandria: a relaxed MnBe2Ir crystal (PBE).

* crystal system: tetragonal
* relative energy among the computed polymorphs: 1.01 eV per formula unit
* space group: No. 119

a = 4.327 Å, b = 4.327 Å, c = 4.327 Å
α = 132.23°, β = 132.23°, γ = 69.87°
Last column: magnetic moment on the atom in μB.
Sites, in units of the cell vectors:
Be1 0.000 0.000 0.000  -0.02
Mn1 0.750 0.250 0.500  1.94
Ir1 0.500 0.500 0.000  0.07
Be2 0.250 0.750 0.500  -0.04



No. 8
Entry from Alexandria: a relaxed MnBe5Ir6 crystal (PBE).

* crystal system: monoclinic
* space group: No. 10

a = 4.017 Å, b = 5.710 Å, c = 6.339 Å
α = 90.00°, β = 108.63°, γ = 90.00°
Last column: magnetic moment on the atom in μB.
Sites, in units of the cell vectors:
Ir1 0.500 0.258 0.000  -0.03
Ir2 0.831 0.746 0.662  -0.02
Ir3 0.500 0.742 0.000  -0.03
Be1 0.000 0.500 0.000  0.01
Ir4 0.169 0.746 0.338  -0.02
Ir5 0.831 0.254 0.662  -0.02
Be2 0.663 0.500 0.327  0.00
Mn1 0.000 0.000 0.000  2.32
Ir6 0.169 0.254 0.338  -0.02
Be3 0.666 0.000 0.332  0.00
Be4 0.337 0.500 0.673  0.00
Be5 0.334 0.000 0.668  0.00



No. 9
Entry from Alexandria: a relaxed MnBeIr crystal (PBE).

* crystal system: orthorhombic
* relative energy among the computed polymorphs: 0.58 eV per formula unit
* space group: No. 44

a = 4.330 Å, b = 4.330 Å, c = 4.330 Å
α = 143.96°, β = 132.75°, γ = 60.83°
Last column: magnetic moment on the atom in μB.
Sites, in units of the cell vectors:
Be1 0.999 0.999 0.000  -0.02
Ir1 0.336 0.336 0.000  -0.04
Mn1 0.665 0.665 0.000  1.34



No. 10
Entry from Alexandria: a relaxed MnBeIr crystal (PBE).

* crystal system: triclinic
* relative energy among the computed polymorphs: 0.59 eV per formula unit
* space group: No. 1

a = 4.784 Å, b = 4.340 Å, c = 4.382 Å
α = 120.27°, β = 62.81°, γ = 113.38°
Sites, in units of the cell vectors:
Be1 0.016 0.815 0.576
Ir1 0.016 0.153 0.245
Ir2 0.516 0.653 0.431
Mn1 0.515 0.969 0.083
Be2 0.515 0.314 0.762
Mn2 0.015 0.470 0.910



No. 11
Entry from Alexandria: a relaxed MnBeIr crystal (PBE).

* crystal system: trigonal
* relative energy among the computed polymorphs: 0.40 eV per formula unit
* space group: No. 156

a = 3.974 Å, b = 4.993 Å, c = 3.974 Å
α = 90.00°, β = 120.00°, γ = 90.00°
Last column: magnetic moment on the atom in μB.
Sites, in units of the cell vectors:
Ir1 0.068 0.877 0.104  0.05
Mn1 0.735 0.221 0.438  0.45
Mn2 0.401 0.050 0.771  2.20
Be1 0.068 0.373 0.104  -0.01
Ir2 0.401 0.534 0.771  0.06
Be2 0.735 0.718 0.438  0.00



No. 12
Entry from Alexandria: a relaxed MnBe3Ir crystal (PBE).

* crystal system: cubic
* relative energy among the computed polymorphs: 0.00 eV per formula unit
* space group: No. 221

a = 4.180 Å, b = 4.180 Å, c = 4.180 Å
α = 90.00°, β = 90.00°, γ = 90.00°
Last column: magnetic moment on the atom in μB.
Sites, in units of the cell vectors:
Ir1 0.000 0.000 0.000  0.09
Be1 0.500 0.000 0.000  -0.02
Be2 0.000 0.500 0.000  -0.04
Mn1 0.500 0.500 0.500  4.07
Be3 0.000 0.000 0.500  -0.07



No. 13
Entry from Alexandria: a relaxed MnBeIr crystal (PBE).

* crystal system: orthorhombic
* relative energy among the computed polymorphs: 1.24 eV per formula unit
* space group: No. 42

a = 6.209 Å, b = 5.974 Å, c = 2.658 Å
α = 82.38°, β = 72.51°, γ = 25.11°
Last column: magnetic moment on the atom in μB.
Sites, in units of the cell vectors:
Mn1 0.657 0.657 0.343  3.14
Be1 0.998 0.998 0.002  -0.04
Ir1 0.344 0.344 0.656  0.27



No. 14
Entry from Alexandria: a relaxed MnBeIr crystal (PBE).

* crystal system: orthorhombic
* relative energy among the computed polymorphs: 0.86 eV per formula unit
* space group: No. 62

a = 2.734 Å, b = 6.033 Å, c = 8.325 Å
α = 90.00°, β = 90.00°, γ = 90.00°
Sites, in units of the cell vectors:
Ir1 0.750 0.730 0.173
Be1 0.250 0.050 0.595
Ir2 0.750 0.770 0.673
Ir3 0.250 0.230 0.327
Mn1 0.750 0.368 0.565
Be2 0.750 0.550 0.905
Mn2 0.250 0.868 0.935
Be3 0.250 0.450 0.095
Mn3 0.750 0.132 0.065
Ir4 0.250 0.270 0.827
Mn4 0.250 0.632 0.435
Be4 0.750 0.950 0.405



For the records above, the corresponding energy of formation from the pure elements values read -0.269, -0.116, -0.353, -0.222, -0.434, 0.199, -0.197, -0.509, -0.189, -0.186, -0.249, 0.397, 0.032, -0.094 eV/atom.